Record 1
This record from Alexandria via LeMat-Bulk describes a crystal of MgSi2W relaxed with PBEsol. The functional is SCAN.

Lattice parameters (Å, degrees): 8.3473 3.0997 5.1887 90.00 102.69 90.00
With the nearest neighbours (Å) after each atom.
Space group C2/m (No. 12)
One atom of each set of equivalent atoms:
Mg 0.0000 0.0000 0.0000 [2 per cell]  6 Si 2.85-2.90, 4 W 3.02, 2 Mg 3.10
Si 0.2361 0.0000 0.6775 [4 per cell]  2 Si 2.46, 3 W 2.52-2.57
W 0.0000 0.5000 0.5000 [2 per cell]  6 Si 2.52-2.57

Total DFT energy (no corrections)   -23.53 eV/atom
Formation energy (no corrections)   0.1406 eV per atom
DOS(E_F)   1.4 states/eV/f.u.



Record 2
This record from Alexandria via LeMat-Bulk describes a crystal of Mg2SiW relaxed with PBEsol. The functional is SCAN.

Lattice parameters (Å, degrees): 2.8000 2.8000 8.6755 90.00 90.00 90.00
With the nearest neighbours (Å) after each atom.
Space group P4mm (No. 99)
One atom of each set of equivalent atoms:
Mg 0.0000 0.0000 0.0000 [1 per cell]  4 Mg 2.80, 4 W 2.96
Mg 0.5000 0.5000 0.2916 [1 per cell]  4 Mg 2.80, 4 Si 2.90
Si 0.0000 0.0000 0.5358 [1 per cell]  4 W 2.69, 4 Si 2.80, 4 Mg 2.90
W 0.5000 0.5000 0.7461 [1 per cell]  4 Si 2.69, 4 W 2.80, 4 Mg 2.96

Total DFT energy (no corrections)   -22.09 eV/atom
Formation energy (no corrections)   0.3275 eV per atom
DOS(E_F)   1.9 states/eV/f.u.



Record 3
This record from Alexandria via LeMat-Bulk describes a crystal of YMg4Si relaxed with PBEsol. The functional is SCAN.

Lattice parameters (Å, degrees): 8.1645 8.1645 8.1645 90.00 90.00 90.00
With the nearest neighbours (Å) after each atom.
Space group F-43m (No. 216)
One atom of each set of equivalent atoms:
Y 0.0000 0.0000 0.0000 [4 per cell]  12 Mg 3.39, 4 Si 3.54
Mg 0.1248 0.1248 0.3752 [16 per cell]  6 Mg 2.88-2.89
Si 0.2500 0.2500 0.7500 [4 per cell]  12 Mg 3.38, 4 Y 3.54

Total DFT energy (no corrections)   -9.42 eV/atom
Formation energy (no corrections)   0.2041 eV per atom
DOS(E_F)   3.9 states/eV/f.u.